First-principles (PBE with a Hubbard U) data for an optimized crystal structure of LaHo2WO8, as listed in Alexandria.

a = 5.027 Å, b = 5.027 Å, c = 7.052 Å
α = 90.00°, β = 90.00°, γ = 90.68°
Positions (direct):
O  0.679  0.680  0.500
O  0.321  0.320  0.500
O  0.815  0.186  0.797
O  0.185  0.814  0.203
O  0.185  0.814  0.797
O  0.815  0.186  0.203
O  0.279  0.278  0.000
O  0.721  0.722  0.000
Ho  0.500  0.500  0.761
Ho  0.500  0.500  0.239
La  0.000  0.000  0.500
W  0.000  0.000  0.000

* VASP energy: -95.33 eV per cell
* space-group type: Cmmm